<w>
A plane-wave DFT calculation with PBE was carried out for a relaxed NdAl3Cu3 crystal.

Geometry as POSCAR:
```
NdAl3Cu3
1.0
8.175 0.000 0.000
0.000 4.209 0.000
-4.087 0.000 7.101
Nd Al Cu
2 6 6
Direct
0.167 0.250 0.333
0.833 0.750 0.667
0.228 0.250 0.963
0.265 0.750 0.728
0.464 0.750 0.235
0.536 0.250 0.765
0.735 0.250 0.272
0.772 0.750 0.037
0.056 0.250 0.611
0.112 0.750 0.055
0.444 0.750 0.556
0.556 0.250 0.444
0.888 0.250 0.945
0.944 0.750 0.389
```

- Space group: P2_1/m
- Magnetization: 0.0000 μB per atom

<x>
A plane-wave DFT calculation with PBE was carried out for a relaxed NdAl3Cu3 crystal.

Geometry as POSCAR:
```
NdAl3Cu3
1.0
3.533 2.040 5.497
-3.533 2.040 5.497
0.000 -4.080 5.497
Nd Al Cu
2 6 6
Direct
0.130 0.130 0.130
0.870 0.870 0.870
0.182 0.182 0.564
0.182 0.564 0.182
0.436 0.818 0.818
0.564 0.182 0.182
0.818 0.436 0.818
0.818 0.818 0.436
0.191 0.559 0.559
0.441 0.441 0.809
0.441 0.809 0.441
0.559 0.191 0.559
0.559 0.559 0.191
0.809 0.441 0.441
```

- Space group: R-3m
- Magnetization: 0.0000 μB per atom

Energy ordering: <x> at the bottom, the next structure 125 meV/atom above.

<w>
A plane-wave DFT calculation with PBE was carried out for a relaxed NdAl3Cu crystal.

Geometry as POSCAR:
```
NdAl3Cu
1.0
4.245 0.000 0.000
0.000 4.245 0.000
0.000 0.000 10.617
Nd Al Cu
2 6 2
Direct
0.000 0.000 0.000
0.500 0.500 0.500
0.000 0.000 0.593
0.000 0.500 0.251
0.000 0.500 0.751
0.500 0.000 0.251
0.500 0.000 0.751
0.500 0.500 0.093
0.000 0.000 0.368
0.500 0.500 0.868
```

- Space group: I4mm
- Magnetization: 0.0000 μB per atom

<x>
A plane-wave DFT calculation with PBE was carried out for a relaxed NdAl3Cu crystal.

Geometry as POSCAR:
```
NdAl3Cu
1.0
6.586 0.000 0.000
0.000 6.604 0.000
0.000 0.000 4.698
Nd Al Cu
2 6 2
Direct
0.000 0.000 0.000
0.500 0.500 0.000
0.000 0.500 0.000
0.250 0.250 0.500
0.250 0.750 0.500
0.500 0.000 0.000
0.750 0.250 0.500
0.750 0.750 0.500
0.000 0.500 0.500
0.500 0.000 0.500
```

- Space group: Cmmm
- Magnetization: 0.0000 μB per atom

Energy ordering: <w> at the bottom, the next structure 374 meV/atom above.

<w>
A plane-wave DFT calculation with PBE was carried out for a relaxed NdAl2Cu4 crystal.

Geometry as POSCAR:
```
NdAl2Cu4
1.0
6.486 0.000 0.000
0.000 6.486 0.000
0.000 0.000 5.211
Nd Al Cu
2 4 8
Direct
0.000 0.000 0.000
0.500 0.500 0.500
0.000 0.500 0.250
0.000 0.500 0.750
0.500 0.000 0.250
0.500 0.000 0.750
0.190 0.190 0.500
0.190 0.810 0.500
0.310 0.310 0.000
0.310 0.690 0.000
0.690 0.310 0.000
0.690 0.690 0.000
0.810 0.190 0.500
0.810 0.810 0.500
```

- Space group: I4/mmm
- Magnetization: 0.0000 μB per atom

<x>
A plane-wave DFT calculation with PBE was carried out for a relaxed NdAl2Cu4 crystal.

Geometry as POSCAR:
```
NdAl2Cu4
1.0
7.099 0.000 0.000
0.000 7.099 0.000
0.000 0.000 5.579
Nd Al Cu
2 4 8
Direct
0.000 0.000 0.000
0.500 0.500 0.500
0.000 0.500 0.250
0.000 0.500 0.750
0.500 0.000 0.250
0.500 0.000 0.750
0.000 0.230 0.500
0.000 0.770 0.500
0.230 0.000 0.500
0.270 0.500 0.000
0.500 0.270 0.000
0.500 0.730 0.000
0.730 0.500 0.000
0.770 0.000 0.500
```

- Space group: I4/mmm
- Magnetization: 0.0000 μB per atom

Energy ordering: <w> at the bottom, the next structure 474 meV/atom above.

<w>
A plane-wave DFT calculation with PBE was carried out for a relaxed NdAlCuNi crystal.

Geometry as POSCAR:
```
NdAlCuNi
1.0
7.358 0.000 0.000
0.000 4.239 0.000
-2.447 0.000 4.773
Nd Al Cu Ni
2 2 2 2
Direct
0.000 0.000 0.000
0.500 0.500 0.000
0.492 0.000 0.476
0.992 0.500 0.476
0.201 0.000 0.602
0.701 0.500 0.602
0.303 0.500 0.409
0.803 0.000 0.409
```

- Space group: Cm
- Magnetization: 0.0000 μB per atom

<x>
A plane-wave DFT calculation with PBE was carried out for a relaxed NdAlCuNi crystal.

Geometry as POSCAR:
```
NdAlCuNi
1.0
6.543 0.000 0.000
0.000 6.543 0.000
0.000 0.000 6.543
Nd Al Cu Ni
4 4 4 4
Direct
0.000 0.000 0.000
0.000 0.500 0.500
0.500 0.000 0.500
0.500 0.500 0.000
0.000 0.000 0.500
0.000 0.500 0.000
0.500 0.000 0.000
0.500 0.500 0.500
0.250 0.250 0.250
0.250 0.750 0.750
0.750 0.250 0.750
0.750 0.750 0.250
0.250 0.250 0.750
0.250 0.750 0.250
0.750 0.250 0.250
0.750 0.750 0.750
```

- Space group: F-43m
- Magnetization: 0.0000 μB per atom

Energy ordering: <w> at the bottom, the next structure 158 meV/atom above.